Record 1
Material: LaCeHo2P4
Method: DFT, PBE-GGA
State: optimized geometry

**Space group**: P2/m
**Magnetic moment**: 0.5 μB/cell
**Calculated formation energy**: -1565 meV per atom

Unit cell a=4.0861 b=7.0588 c=7.0837 alpha=70.56 beta=90.00 gamma=90.00
Site moments in Bohr magnetons follow the coordinates.
Atoms (fractional coordinates):
P 0.5000 0.7609 0.2403  -0.01
P 0.0000 0.2421 0.2474  -0.01
P 0.5000 0.2391 0.7597  -0.01
P 0.0000 0.7579 0.7526  -0.01
Ce 0.5000 0.5000 0.0000  0.46
Ho 0.0000 0.0000 0.0000  0.00
Ho 0.5000 0.0000 0.5000  0.01
La 0.0000 0.5000 0.5000  0.01


Record 2
Material: TmGaPd2
Method: DFT, PBE-GGA
State: optimized geometry

**Space group**: P4/mmm
**Magnetic moment**: 0.0 μB/cell
**Calculated formation energy**: -751 meV per atom

Unit cell a=3.6918 b=4.4060 c=4.4060 alpha=90.00 beta=90.00 gamma=90.00
Atoms (fractional coordinates):
Pd 0.0000 0.0000 0.5000
Pd 0.0000 0.5000 0.0000
Tm 0.5000 0.5000 0.5000
Ga 0.5000 0.0000 0.0000


Record 3
Material: Sm2Y5Cd
Method: DFT, PBE-GGA
State: optimized geometry

**Space group**: I4/mmm
**Magnetic moment**: 0.0 μB/cell
**Calculated formation energy**: -20 meV per atom

Unit cell a=7.0281 b=7.0281 c=7.0785 alpha=119.76 beta=119.76 gamma=90.00
Atoms (fractional coordinates):
Sm 0.2221 0.7220 0.4442
Sm 0.7220 0.2222 0.4442
Cd 0.2220 0.2220 0.4440
Y 0.7222 0.7222 0.9444
Y 0.7222 0.7222 0.4444
Y 0.2222 0.2222 0.9442
Y 0.7220 0.2222 0.9443
Y 0.2223 0.7221 0.9443


Record 4
Material: Pr2Dy3Cd2
Method: DFT, PBE-GGA
State: optimized geometry

**Space group**: Cmmm
**Magnetic moment**: 0.0 μB/cell
**Calculated formation energy**: -115 meV per atom
**E above lowest polymorph**: 26 meV per atom

Unit cell a=3.6039 b=3.5530 c=16.6670 alpha=90.00 beta=96.21 gamma=90.00
Atoms (fractional coordinates):
Dy 0.0000 0.0000 0.0000
Dy 0.5740 0.5000 0.1480
Dy 0.4260 0.5000 0.8520
Cd 0.1350 0.0000 0.2700
Cd 0.8650 0.0000 0.7300
Pr 0.7019 0.5000 0.4038
Pr 0.2981 0.5000 0.5962